Record 1
Below is a geometry-optimized NaLi2Ag structure, with properties calculated at the GGA-PBE level.

```
data_NaLi2Ag
_chemical_formula_sum 'Na1 Li2 Ag1'
_symmetry_space_group_name_H-M 'P 4/m m m'
_symmetry_Int_Tables_number 123
_symmetry_space_group_name_Hall '-P 4 2'
_cell_length_a 4.395
_cell_length_b 4.395
_cell_length_c 4.209
_cell_angle_alpha 90.00
_cell_angle_beta 90.00
_cell_angle_gamma 90.00
loop_
_atom_site_label
_atom_site_type_symbol
_atom_site_fract_x
_atom_site_fract_y
_atom_site_fract_z
Na1 Na 0.000 0.000 0.000
Li1 Li 0.000 0.500 0.500
Ag1 Ag 0.500 0.500 0.000
```

## Properties
ΔE to the lowest computed polymorph, eV/atom: 0.074
Energy relative to the elements, eV/f.u.: -0.1

***

Record 2
Below is a geometry-optimized BaHf2Zr structure, with properties calculated at the GGA-PBE level.

```
data_BaHf2Zr
_chemical_formula_sum 'Ba4 Hf8 Zr4'
_symmetry_space_group_name_H-M 'I 41/a m d'
_symmetry_Int_Tables_number 141
_cell_length_a 5.416
_cell_length_b 5.416
_cell_length_c 20.704
_cell_angle_alpha 90.00
_cell_angle_beta 90.00
_cell_angle_gamma 90.00
loop_
_symmetry_equiv_pos_as_xyz
'x,y,z'
'-x,-y,-z'
'-y+1/4,x+3/4,z+1/4'
'y+1/4,-x+3/4,-z+1/4'
'-x+1/2,-y,z+1/2'
'x+1/2,y,-z+1/2'
'y+1/4,-x+1/4,z+3/4'
'-y+1/4,x+1/4,-z+3/4'
'x,-y,-z'
'-x,y,z'
'-y+1/4,-x+1/4,-z+3/4'
'y+1/4,x+1/4,z+3/4'
'-x+1/2,y,-z+1/2'
'x+1/2,-y,z+1/2'
'y+1/4,x+3/4,-z+1/4'
'-y+1/4,-x+3/4,z+1/4'
'x+1/2,y+1/2,z+1/2'
'-x+1/2,-y+1/2,-z+1/2'
'-y+3/4,x+1/4,z+3/4'
'y+3/4,-x+1/4,-z+3/4'
'-x,-y+1/2,z'
'x,y+1/2,-z'
'y+3/4,-x+3/4,z+1/4'
'-y+3/4,x+3/4,-z+1/4'
'x+1/2,-y+1/2,-z+1/2'
'-x+1/2,y+1/2,z+1/2'
'-y+3/4,-x+3/4,-z+1/4'
'y+3/4,x+3/4,z+1/4'
'-x,y+1/2,-z'
'x,-y+1/2,z'
'y+3/4,x+1/4,-z+3/4'
'-y+3/4,-x+1/4,z+3/4'
loop_
_atom_site_label
_atom_site_type_symbol
_atom_site_fract_x
_atom_site_fract_y
_atom_site_fract_z
Ba1 Ba 0.000 0.250 0.375
Hf1 Hf 0.000 0.000 0.000
Zr1 Zr 0.000 0.250 0.875
```

## Properties
ΔE to the lowest computed polymorph, eV/atom: 0.524
Energy relative to the elements, eV/f.u.: 5.0

***

Record 3
Below is a geometry-optimized KCrI2 structure, with properties calculated at the GGA-PBE level.

```
data_KCrI2
_chemical_formula_sum 'K4 Cr4 I8'
_symmetry_space_group_name_H-M 'F m -3 m'
_symmetry_Int_Tables_number 225
_symmetry_space_group_name_Hall '-F 4 2 3'
_cell_length_a 8.098
_cell_length_b 8.098
_cell_length_c 8.098
_cell_angle_alpha 90.00
_cell_angle_beta 90.00
_cell_angle_gamma 90.00
loop_
_atom_site_label
_atom_site_type_symbol
_atom_site_fract_x
_atom_site_fract_y
_atom_site_fract_z
K1 K 0.000 0.000 0.000
Cr1 Cr 0.000 0.000 0.500
I1 I 0.250 0.250 0.250
```

## Properties
Uncorrected formation energy, eV/atom: -0.301
ΔE to the lowest computed polymorph, eV/atom: 0.241

***

Record 4
Below is a geometry-optimized HfZrBi2 structure, with properties calculated at the GGA-PBE level.

```
data_HfZrBi2
_chemical_formula_sum 'Hf4 Zr4 Bi8'
_symmetry_space_group_name_H-M 'I -4 2 d'
_symmetry_Int_Tables_number 122
_symmetry_space_group_name_Hall 'I -4 2bw'
_cell_length_a 6.684
_cell_length_b 6.684
_cell_length_c 13.271
_cell_angle_alpha 90.00
_cell_angle_beta 90.00
_cell_angle_gamma 90.00
loop_
_atom_site_label
_atom_site_type_symbol
_atom_site_fract_x
_atom_site_fract_y
_atom_site_fract_z
Hf1 Hf 0.000 0.000 0.000
Zr1 Zr 0.000 0.000 0.500
Bi1 Bi 0.245 0.250 0.125
```

## Properties
ΔE to the lowest computed polymorph, eV/atom: 0.661
Energy relative to the elements, eV/f.u.: 2.2